Entry 1:
VASP calculation (PBE-GGA) on an optimized crystal structure of BaBWS2.

a b c (Å): 4.834 4.834 4.377
angles (deg): 90.00 90.00 90.00
Element x y z (fractional)
Ba 0.000 0.000 0.000
B 0.500 0.500 0.000
W 0.500 0.500 0.500
S 0.000 0.500 0.500
S 0.500 0.000 0.500

As for the uncorrected formation energy: -372.5 meV per atom. As for the symmetry: P4/mmm, No. 123.

Entry 2:
VASP calculation (PBE-GGA) on an optimized crystal structure of Ba2YB2S6.

a b c (Å): 6.652 6.652 7.976
angles (deg): 115.66 115.66 59.54
Element x y z (fractional)
Ba 0.212 0.212 0.210
Ba 0.788 0.788 0.790
Y 0.000 0.000 0.500
B 0.446 0.446 0.739
B 0.554 0.554 0.261
S 0.222 0.698 0.206
S 0.267 0.267 0.651
S 0.302 0.778 0.794
S 0.698 0.222 0.206
S 0.733 0.733 0.349
S 0.778 0.302 0.794

As for the uncorrected formation energy: -1314.4 meV per atom. As for the symmetry: C2/m, No. 12.

We obtain DFT total energy values of -31.67 -62.89 eV/cell for the records listed above, in that order.